Entry 1:
Entry from Alexandria: a relaxed structure of Ti3BeH3 (PBE).

* symmetry: Pm-3n (223)
* volume: 141 Å³ per cell
* total magnetic moment: 0.64 μB/f.u.
* uncorrected energy: -0.205 Ha/atom

Geometry as POSCAR:
```
Ti3BeH3
1.0
5.205 0.000 0.000
0.000 5.205 0.000
0.000 0.000 5.205
Ti Be H
6 2 6
Direct
0.250 0.500 0.000 Ti
0.750 0.500 0.000 Ti
0.000 0.750 0.500 Ti
0.000 0.250 0.500 Ti
0.500 0.000 0.750 Ti
0.500 0.000 0.250 Ti
0.500 0.500 0.500 Be
0.000 0.000 0.000 Be
0.500 0.250 0.000 H
0.000 0.500 0.250 H
0.000 0.500 0.750 H
0.750 0.000 0.500 H
0.500 0.750 0.000 H
0.250 0.000 0.500 H
```



Entry 2:
Entry from Alexandria: a relaxed structure of HgI2BrO (PBE).

* symmetry: P4/mmm (123)
* volume: 144 Å³ per cell
* total magnetic moment: 0.00 μB/f.u.
* energy relative to the lowest polymorph listed for this composition: 26 meV per atom
* formation energy from raw total energies: 0.445 eV per atom

Geometry as POSCAR:
```
HgI2BrO
1.0
5.982 0.000 0.000
0.000 5.982 0.000
0.000 0.000 4.037
O I Hg Br
1 2 1 1
Direct
0.000 0.000 0.500 O
0.500 0.000 0.000 I
0.000 0.500 0.000 I
0.500 0.500 0.500 Hg
0.000 0.000 0.000 Br
```



Entry 3:
Entry from Alexandria: a relaxed structure of Pa2InP (PBE).

* symmetry: R-3m (166)
* volume: 100 Å³ per cell
* total magnetic moment: 0.00 μB/f.u.
* energy of formation from the pure elements: -11.8 kcal/mol of atoms
* energy relative to the lowest polymorph listed for this composition: 0 meV per atom

Geometry as POSCAR:
```
Pa2InP
1.0
-3.079 1.628 1.082
-1.683 -1.117 3.037
3.028 5.821 6.010
Pa P In
2 1 1
Direct
0.734 0.734 0.798 Pa
0.266 0.266 0.202 Pa
0.000 0.000 0.000 P
0.500 0.500 0.500 In
```



Entry 4:
Entry from Alexandria: a relaxed structure of GeMoPPt2 (PBE).

* symmetry: P4/mmm (123)
* volume: 110 Å³ per cell
* total magnetic moment: 0.00 μB/f.u.
* energy of formation from the pure elements: 18.2 kcal/mol of atoms

Geometry as POSCAR:
```
GeMoPPt2
1.0
4.908 0.000 0.000
0.000 4.550 0.000
0.000 0.000 4.908
Mo Ge Pt P
1 1 2 1
Direct
0.000 0.000 0.000 Mo
0.500 0.500 0.500 Ge
0.500 0.000 0.000 Pt
0.000 0.000 0.500 Pt
0.000 0.500 0.000 P
```



Entry 5:
Entry from Alexandria: a relaxed structure of Sr2ScMo (PBE).

* symmetry: P2/m (10)
* volume: 114 Å³ per cell
* total magnetic moment: 0.20 μB/f.u.
* energy of formation from the pure elements: 21.9 kcal/mol of atoms
* energy relative to the lowest polymorph listed for this composition: 490 meV per atom

Geometry as POSCAR:
```
Sr2ScMo
1.0
5.272 0.000 0.000
0.000 3.277 0.070
0.000 3.097 6.649
Sr Mo Sc
2 1 1
Direct
0.000 0.983 0.016 Sr
0.000 0.517 0.484 Sr
0.500 0.250 0.250 Mo
0.500 0.750 0.750 Sc
```